Density functional theory data (PBE) for a relaxed BaPr3Se4 crystal.

```
8
Lattice="4.325 -0.054 0.073 0.056 7.282 2.090 -0.123 0.388 7.565" Properties=species:S:1:pos:R:3 pbc="T T T"
Se 4.305 1.761 2.569
Se 2.173 5.585 3.562
Se 4.277 5.803 7.232
Se 2.084 2.032 6.167
Pr 4.291 3.781 4.901
Pr 4.324 -0.053 0.073
Pr 2.101 0.168 3.819
Ba 2.068 4.002 8.647
```

Summary:
Uncorrected energy in eV per formula unit: -45.03
Volume in Å³ per atom: 29.36